La2SiAs | GGA-PBE | optimized geometry

Unit cell a=6.822 b=6.822 c=8.280 alpha=65.67 beta=65.67 gamma=90.00
Element x y z (fractional)
La 0.124 0.625 0.250
La 0.375 0.374 0.750
Si 0.500 0.500 0.000
La 0.875 0.876 0.750
Si 0.250 0.750 0.500
As 0.750 0.250 0.500
As 0.000 0.000 0.000
La 0.626 0.125 0.250

## Properties
E_tot, eV/atom: -5.390
Energy relative to the elements, uncorrected, eV/f.u.: -1.6
Symmetry: No. 122
Energy above the most stable polymorph in this dataset, meV per atom: 725.5
Magnetic moment, μB per formula unit: 0.00
Fermi-level density of states, states/eV per atom: 1.260